# PrZrCo2, relaxed, DFT PBE
data_PrZrCo2
_symmetry_space_group_name_H-M 'P 4/m m m'
_symmetry_Int_Tables_number 123
_symmetry_space_group_name_Hall '-P 4 2'
_cell_length_a 3.273
_cell_length_b 3.273
_cell_length_c 6.922
_cell_angle_alpha 90.00
_cell_angle_beta 90.00
_cell_angle_gamma 90.00
loop_
_atom_site_label
_atom_site_type_symbol
_atom_site_fract_x
_atom_site_fract_y
_atom_site_fract_z
Pr1 Pr 0.000 0.000 0.000
Zr1 Zr 0.000 0.000 0.500
Co1 Co 0.500 0.500 0.294
# Magnetic moment   0.75 μB/f.u.
# Density of states at the Fermi level   0.7139 states/eV/atom
# Formation enthalpy at 0 K   -0.09 eV per atom